Entry from Alexandria via LeMat-Bulk: a relaxed structure of Ni3B7ClO13 (GGA+U).

total energy: -7.10 eV per atom

Cell lengths 8.5983, 8.5839, 12.1541 Å; angles 90.00, 90.00, 90.00 degrees
Last column: nearest neighbours and their distance in Å.
Atoms (fractional coordinates):
Ni 0.0172 0.0328 0.0000  4 O 2.03-2.10
Ni 0.0173 0.4674 0.0021  4 O 2.02-2.10
Ni 0.2435 0.2503 0.2795  4 O 2.04-2.08
Ni 0.2565 0.2503 0.7795  4 O 2.04-2.08
Ni 0.4828 0.0328 0.5000  4 O 2.03-2.10
Ni 0.4827 0.4674 0.5021  4 O 2.02-2.10
Ni 0.5173 0.5326 0.0021  4 O 2.02-2.10
Ni 0.5172 0.9672 0.0000  4 O 2.03-2.10
Ni 0.7435 0.7497 0.2795  4 O 2.04-2.08
Ni 0.7565 0.7497 0.7795  4 O 2.04-2.08
Ni 0.9827 0.5326 0.5021  4 O 2.02-2.10
Ni 0.9828 0.9672 0.5000  4 O 2.03-2.10
B 0.0005 0.4981 0.7538  4 O 1.47-1.51
B 0.9995 0.5019 0.2538  4 O 1.47-1.51
B 0.0023 0.0032 0.7531  4 O 1.47-1.51
B 0.0448 0.7501 0.1522  3 O 1.38
B 0.0931 0.7507 0.6808  4 O 1.45-1.56
B 0.2440 0.7541 0.0061  4 O 1.47-1.51
B 0.2461 0.5970 0.8342  4 O 1.46-1.57
B 0.2478 0.9039 0.8332  4 O 1.45-1.57
B 0.2522 0.9039 0.3332  4 O 1.45-1.57
B 0.2539 0.5970 0.3342  4 O 1.46-1.57
B 0.2560 0.7541 0.5061  4 O 1.47-1.51
B 0.4069 0.7507 0.1808  4 O 1.45-1.56
B 0.4552 0.7501 0.6522  3 O 1.38
B 0.4977 0.0032 0.2531  4 O 1.47-1.51
B 0.4995 0.4981 0.2538  4 O 1.47-1.51
B 0.5005 0.5019 0.7538  4 O 1.47-1.51
B 0.5023 0.9968 0.7531  4 O 1.47-1.51
B 0.5448 0.2499 0.1522  3 O 1.38
B 0.5931 0.2493 0.6808  4 O 1.45-1.56
B 0.7440 0.2459 0.0061  4 O 1.47-1.51
B 0.7461 0.4030 0.8342  4 O 1.46-1.57
B 0.7478 0.0961 0.8332  4 O 1.45-1.57
B 0.7522 0.0961 0.3332  4 O 1.45-1.57
B 0.7539 0.4030 0.3342  4 O 1.46-1.57
B 0.7560 0.2459 0.5061  4 O 1.47-1.51
B 0.9069 0.2493 0.1808  4 O 1.45-1.56
B 0.9552 0.2499 0.6522  3 O 1.38
B 0.9977 0.9968 0.2531  4 O 1.47-1.51
Cl 0.2057 0.2507 0.9828  3 Ni 2.48-2.51
Cl 0.2943 0.2507 0.4828  3 Ni 2.48-2.51
Cl 0.7057 0.7493 0.9828  3 Ni 2.48-2.51
Cl 0.7943 0.7493 0.4828  3 Ni 2.48-2.51
O 0.0339 0.1621 0.2330  2 B 1.47
O 0.0368 0.9107 0.1488  2 B 1.38-1.51
O 0.0414 0.3309 0.7291  2 B 1.38-1.51
O 0.0480 0.5913 0.6583  2 B 1.45-1.47
O 0.0871 0.5426 0.8528  2 B 1.46-1.47
O 0.0876 0.9405 0.3481  2 B 1.46-1.47
O 0.1178 0.6703 0.0682  2 B 1.38-1.51
O 0.1409 0.8271 0.5791  2 B 1.46-1.47
O 0.1662 0.4796 0.2738  2 B 1.46-1.47
O 0.1691 0.0272 0.7736  2 B 1.45-1.47
O 0.1722 0.8763 0.9387  2 B 1.46-1.47
O 0.1773 0.6369 0.4373  2 B 1.46-1.47
O 0.2316 0.7496 0.7642  3 B 1.56-1.57
O 0.2684 0.7496 0.2642  3 B 1.56-1.57
O 0.3227 0.6369 0.9373  2 B 1.46-1.47
O 0.3278 0.8763 0.4387  2 B 1.46-1.47
O 0.3309 0.0272 0.2736  2 B 1.45-1.47
O 0.3338 0.4796 0.7738  2 B 1.46-1.47
O 0.3591 0.8271 0.0791  2 B 1.46-1.47
O 0.3822 0.6703 0.5682  2 B 1.38-1.51
O 0.4124 0.9405 0.8481  2 B 1.46-1.47
O 0.4129 0.5426 0.3528  2 B 1.46-1.47
O 0.4520 0.5913 0.1583  2 B 1.45-1.47
O 0.4586 0.3309 0.2291  2 B 1.38-1.51
O 0.4632 0.9107 0.6488  2 B 1.38-1.51
O 0.4661 0.1621 0.7330  2 B 1.47
O 0.5339 0.8379 0.2330  2 B 1.47
O 0.5368 0.0893 0.1488  2 B 1.38-1.51
O 0.5414 0.6691 0.7291  2 B 1.38-1.51
O 0.5480 0.4087 0.6583  2 B 1.45-1.47
O 0.5871 0.4574 0.8528  2 B 1.46-1.47
O 0.5876 0.0595 0.3481  2 B 1.46-1.47
O 0.6178 0.3297 0.0682  2 B 1.38-1.51
O 0.6409 0.1729 0.5791  2 B 1.46-1.47
O 0.6662 0.5204 0.2738  2 B 1.46-1.47
O 0.6691 0.9728 0.7736  2 B 1.45-1.47
O 0.6722 0.1237 0.9387  2 B 1.46-1.47
O 0.6773 0.3631 0.4373  2 B 1.46-1.47
O 0.7316 0.2504 0.7642  3 B 1.56-1.57
O 0.7684 0.2504 0.2642  3 B 1.56-1.57
O 0.8227 0.3631 0.9373  2 B 1.46-1.47
O 0.8278 0.1237 0.4387  2 B 1.46-1.47
O 0.8309 0.9728 0.2736  2 B 1.45-1.47
O 0.8338 0.5204 0.7738  2 B 1.46-1.47
O 0.8591 0.1729 0.0791  2 B 1.46-1.47
O 0.8822 0.3297 0.5682  2 B 1.38-1.51
O 0.9124 0.0595 0.8481  2 B 1.46-1.47
O 0.9129 0.4574 0.3528  2 B 1.46-1.47
O 0.9520 0.4087 0.1583  2 B 1.45-1.47
O 0.9586 0.6691 0.2291  2 B 1.38-1.51
O 0.9632 0.0893 0.6488  2 B 1.38-1.51
O 0.9661 0.8379 0.7330  2 B 1.47